# GGA-PBE PmHoZnRh, relaxed
data_PmHoZnRh
_chemical_formula_sum 'Pm4 Ho4 Zn4 Rh4'
_cell_length_a 7.062
_cell_length_b 7.062
_cell_length_c 7.062
_cell_angle_alpha 90.00
_cell_angle_beta 90.00
_cell_angle_gamma 90.00
_symmetry_space_group_name_H-M 'F -4 3 m'
_symmetry_Int_Tables_number 216
_symmetry_space_group_name_Hall 'F -4 2 3'
loop_
_atom_site_label
_atom_site_fract_x
_atom_site_fract_y
_atom_site_fract_z
_atom_site_occupancy
Pm1 0.000 0.000 0.000 1
Ho1 0.000 0.000 0.500 1
Zn1 0.250 0.250 0.750 1
Rh1 0.250 0.250 0.250 1
# - Electronic total energy: -5.05 eV per atom
# - E above lowest polymorph: 0.012 eV/atom
# - Energy relative to the elements: -0.56 eV/atom

# GGA-PBE PmHoZnRh, relaxed
data_PmHoZnRh
_chemical_formula_sum 'Pm2 Ho2 Zn2 Rh2'
_cell_length_a 4.403
_cell_length_b 3.909
_cell_length_c 10.697
_cell_angle_alpha 90.00
_cell_angle_beta 90.00
_cell_angle_gamma 90.00
_symmetry_space_group_name_H-M 'A m m 2'
_symmetry_Int_Tables_number 38
loop_
_symmetry_equiv_pos_as_xyz
'x,y,z'
'-x,-y,z'
'-x,y,z'
'x,-y,z'
'x,y+1/2,z+1/2'
'-x,-y+1/2,z+1/2'
'-x,y+1/2,z+1/2'
'x,-y+1/2,z+1/2'
loop_
_atom_site_label
_atom_site_fract_x
_atom_site_fract_y
_atom_site_fract_z
_atom_site_occupancy
Pm1 0.000 0.000 0.000 1
Ho1 0.500 0.000 0.720 1
Zn1 0.500 0.000 0.428 1
Rh1 0.000 0.000 0.281 1
# - Electronic total energy: -5.06 eV per atom
# - E above lowest polymorph: 0.000 eV/atom
# - Energy relative to the elements: -0.57 eV/atom

# GGA-PBE PmHo3Ru2, relaxed
data_PmHo3Ru2
_chemical_formula_sum 'Pm4 Ho12 Ru8'
_cell_length_a 6.757
_cell_length_b 13.531
_cell_length_c 7.005
_cell_angle_alpha 90.00
_cell_angle_beta 90.00
_cell_angle_gamma 90.00
_symmetry_space_group_name_H-M 'I b a m'
_symmetry_Int_Tables_number 72
_symmetry_space_group_name_Hall '-I 2 2c'
loop_
_atom_site_label
_atom_site_fract_x
_atom_site_fract_y
_atom_site_fract_z
_atom_site_occupancy
Pm1 0.000 0.000 0.000 1
Ho1 0.000 0.239 0.250 1
Ho2 0.000 0.500 0.250 1
Ru1 0.222 0.366 0.000 1
# - Electronic total energy: -6.40 eV per atom
# - E above lowest polymorph: 0.078 eV/atom
# - Energy relative to the elements: -0.22 eV/atom

# GGA-PBE PmHo3Ru8, relaxed
data_PmHo3Ru8
_chemical_formula_sum 'Pm3 Ho9 Ru24'
_cell_length_a 5.3320
_cell_length_b 5.3320
_cell_length_c 26.3099
_cell_angle_alpha 90.00
_cell_angle_beta 90.00
_cell_angle_gamma 120.00
_symmetry_space_group_name_H-M 'R 3 m'
_symmetry_Int_Tables_number 160
_symmetry_space_group_name_Hall 'R 3 -2"'
loop_
_atom_site_label
_atom_site_fract_x
_atom_site_fract_y
_atom_site_fract_z
_atom_site_occupancy
Pm1 0.0000 0.0000 0.0000 1
Ho1 0.0000 0.0000 0.1252 1
Ho2 0.0000 0.0000 0.5004 1
Ho3 0.0000 0.0000 0.6249 1
Ru1 0.0000 0.0000 0.3126 1
Ru2 0.0000 0.0000 0.8129 1
Ru3 0.0018 0.5009 0.0638 1
Ru4 0.1680 0.3361 0.8950 1
# - Electronic total energy: -8.00 eV per atom
# - Energy relative to the elements: -0.28 eV/atom

# GGA-PBE PmHo3Ru2, relaxed
data_PmHo3Ru2
_chemical_formula_sum 'Pm1 Ho3 Ru2'
_cell_length_a 3.410
_cell_length_b 3.410
_cell_length_c 12.402
_cell_angle_alpha 90.00
_cell_angle_beta 90.00
_cell_angle_gamma 90.00
_symmetry_space_group_name_H-M 'P 4/m m m'
_symmetry_Int_Tables_number 123
_symmetry_space_group_name_Hall '-P 4 2'
loop_
_atom_site_label
_atom_site_fract_x
_atom_site_fract_y
_atom_site_fract_z
_atom_site_occupancy
Pm1 0.000 0.000 0.000 1
Ho1 0.500 0.500 0.231 1
Ho2 0.500 0.500 0.500 1
Ru1 0.000 0.000 0.358 1
# - Electronic total energy: -6.47 eV per atom
# - E above lowest polymorph: 0.000 eV/atom
# - Energy relative to the elements: -0.30 eV/atom

# GGA-PBE PmHo5Ru6, relaxed
data_PmHo5Ru6
_chemical_formula_sum 'Pm2 Ho10 Ru12'
_cell_length_a 4.811
_cell_length_b 6.812
_cell_length_c 14.391
_cell_angle_alpha 90.00
_cell_angle_beta 90.00
_cell_angle_gamma 90.00
_symmetry_space_group_name_H-M 'I m m m'
_symmetry_Int_Tables_number 71
_symmetry_space_group_name_Hall '-I 2 2'
loop_
_atom_site_label
_atom_site_fract_x
_atom_site_fract_y
_atom_site_fract_z
_atom_site_occupancy
Pm1 0.000 0.000 0.000 1
Ho1 0.000 0.000 0.333 1
Ho2 0.000 0.500 0.000 1
Ho3 0.000 0.500 0.331 1
Ru1 0.000 0.247 0.500 1
Ru2 0.000 0.251 0.168 1
# - Electronic total energy: -7.25 eV per atom
# - Energy relative to the elements: -0.31 eV/atom

# GGA-PBE PmHoRu, relaxed
data_PmHoRu
_chemical_formula_sum 'Pm1 Ho1 Ru1'
_cell_length_a 4.7394
_cell_length_b 4.7394
_cell_length_c 3.6644
_cell_angle_alpha 90.00
_cell_angle_beta 90.00
_cell_angle_gamma 120.00
_symmetry_space_group_name_H-M 'P 3 m 1'
_symmetry_Int_Tables_number 156
loop_
_symmetry_equiv_pos_as_xyz
'x,y,z'
'-y,x-y,z'
'-x+y,-x,z'
'-y,-x,z'
'-x+y,y,z'
'x,x-y,z'
loop_
_atom_site_label
_atom_site_fract_x
_atom_site_fract_y
_atom_site_fract_z
_atom_site_occupancy
Pm1 0.0000 0.0000 0.0000 1
Ho1 0.6667 0.3333 0.5478 1
Ru1 0.3333 0.6667 0.3073 1
# - Electronic total energy: -6.29 eV per atom
# - E above lowest polymorph: 0.183 eV/atom
# - Energy relative to the elements: -0.09 eV/atom

# GGA-PBE PmHoRu2, relaxed
data_PmHoRu2
_chemical_formula_sum 'Pm1 Ho1 Ru2'
_cell_length_a 3.433
_cell_length_b 3.433
_cell_length_c 6.878
_cell_angle_alpha 90.00
_cell_angle_beta 90.00
_cell_angle_gamma 90.00
_symmetry_space_group_name_H-M 'P 4/m m m'
_symmetry_Int_Tables_number 123
_symmetry_space_group_name_Hall '-P 4 2'
loop_
_atom_site_label
_atom_site_fract_x
_atom_site_fract_y
_atom_site_fract_z
_atom_site_occupancy
Pm1 0.000 0.000 0.000 1
Ho1 0.000 0.000 0.500 1
Ru1 0.500 0.500 0.257 1
# - Electronic total energy: -7.20 eV per atom
# - E above lowest polymorph: 0.000 eV/atom
# - Energy relative to the elements: -0.23 eV/atom

Ordered total magnetic moment results: 0.000 0.000 0.000 0.000 0.000 0.000 0.000 0.000; unit μB/f.u..